No. 1
Entry from Alexandria via LeMat-Bulk: an optimized crystal structure of TaTePdI2 (PBE).

Cell: 5.2361 5.2361 5.3368 Å, 90.00 90.00 90.00°
With the nearest neighbours (Å) after each atom.
Positions (direct):
I: 0.0000 0.5000 0.0000  2 Pd 2.62
I: 0.5000 0.0000 0.0000  2 Pd 2.62
Ta: 0.5000 0.5000 0.5000  4 Te 3.70, 8 I 3.74
Pd: 0.0000 0.0000 0.0000  4 I 2.62, 2 Te 2.67
Te: 0.0000 0.0000 0.5000  2 Pd 2.67

crystal system: tetragonal
offset from the most stable computed form: 531.0 meV/atom
E_form (uncorrected): 5.54 eV per formula unit
symmetry: P4/mmm, No. 123



No. 2
Entry from Alexandria via LeMat-Bulk: an optimized crystal structure of Rb2Pm2SbO6 (PBE).

Cell: 6.0966 6.0966 6.9876 Å, 97.74 97.74 119.68°
With the nearest neighbours (Å) after each atom.
Positions (direct):
Rb: 0.8369 0.1631 0.0000  6 O 2.93-3.16
O: 0.7491 0.7491 0.6682  1 Sb 2.17, 2 Pm 2.40
O: 0.2509 0.2509 0.3318  1 Sb 2.17, 2 Pm 2.40
O: 0.3626 0.0462 0.6663  1 Sb 2.22, 2 Pm 2.37-2.40
Rb: 0.1631 0.8369 0.0000  6 O 2.93-3.16
O: 0.9538 0.6374 0.3337  1 Sb 2.22, 2 Pm 2.37-2.40
O: 0.0462 0.3626 0.6663  1 Sb 2.22, 2 Pm 2.37-2.40
Pm: 0.6652 0.3348 0.5000  6 O 2.37-2.40
Pm: 0.3348 0.6652 0.5000  6 O 2.37-2.40
O: 0.6374 0.9538 0.3337  1 Sb 2.22, 2 Pm 2.37-2.40
Sb: 0.0000 0.0000 0.5000  6 O 2.17-2.22

crystal system: monoclinic
E_form (uncorrected): -24.43 eV per formula unit
symmetry: C2/m, No. 12



No. 3
Entry from Alexandria via LeMat-Bulk: an optimized crystal structure of MgCCl3 (PBE).

Cell: 4.4810 4.4810 4.4810 Å, 90.00 90.00 90.00°
With the nearest neighbours (Å) after each atom.
Positions (direct):
Cl: 0.0000 0.5000 0.0000  2 C 2.24
C: 0.0000 0.0000 0.0000  6 Cl 2.24
Cl: 0.5000 0.0000 0.0000  2 C 2.24
Mg: 0.5000 0.5000 0.5000  12 Cl 3.17
Cl: 0.0000 0.0000 0.5000  2 C 2.24

crystal system: cubic
offset from the most stable computed form: 0.0 meV/atom
E_form (uncorrected): 2.34 eV per formula unit
symmetry: Pm-3m, No. 221



No. 4
Entry from Alexandria via LeMat-Bulk: an optimized crystal structure of CsZr2Ni (PBE).

Cell: 6.1965 6.1965 8.8392 Å, 69.48 69.48 90.00°
With the nearest neighbours (Å) after each atom.
Positions (direct):
Cs: 0.7500 0.2500 0.5000  8 Zr 3.96, 4 Ni 4.38
Ni: 0.5000 0.5000 0.0000  4 Zr 2.47
Zr: 0.3747 0.1250 0.2500  2 Ni 2.47
Zr: 0.3750 0.6253 0.7500  2 Ni 2.47
Ni: 0.2500 0.7500 0.5000  4 Zr 2.47
Cs: 0.0000 0.0000 0.0000  8 Zr 3.96, 4 Ni 4.38
Zr: 0.3753 0.6250 0.2500  2 Ni 2.47
Zr: 0.8750 0.6247 0.7500  2 Ni 2.47

crystal system: tetragonal
offset from the most stable computed form: 90.5 meV/atom
energy relative to the elements: 1.0862 eV/atom
symmetry: I4_1/amd, No. 141



No. 5
Entry from Alexandria via LeMat-Bulk: an optimized crystal structure of La2PSe (PBE).

Cell: 4.2328 7.3681 7.3976 Å, 90.00 90.00 90.00°
With the nearest neighbours (Å) after each atom.
Positions (direct):
Se: 0.7500 0.7500 0.4198  6 La 3.14
La: 0.2500 0.4970 0.2345  3 P 3.00-3.01, 3 Se 3.14
La: 0.7500 0.5030 0.7655  3 P 3.00-3.01, 3 Se 3.14
Se: 0.2500 0.2500 0.5802  6 La 3.14
P: 0.7500 0.2500 0.0845  6 La 3.00-3.01
La: 0.7500 0.9970 0.7655  3 P 3.00-3.01, 3 Se 3.14
La: 0.2500 0.0030 0.2345  3 P 3.00-3.01, 3 Se 3.14
P: 0.2500 0.7500 0.9155  6 La 3.00-3.01

crystal system: orthorhombic
offset from the most stable computed form: 175.5 meV/atom
E_form (uncorrected): -6.75 eV per formula unit
symmetry: Pmmn, No. 59



No. 6
Entry from Alexandria via LeMat-Bulk: an optimized crystal structure of Sc6Pb2S (PBE).

Cell: 6.6166 6.6159 9.3618 Å, 90.00 90.00 90.00°
With the nearest neighbours (Å) after each atom.
Positions (direct):
Pb: 0.4999 0.0000 0.2499  12 Sc 3.31
Sc: 0.5001 0.4999 0.7389  1 S 2.44
Pb: 0.9999 0.5000 0.7499  12 Sc 3.31
Sc: 0.7612 0.7611 0.0001  1 S 2.44
Sc: 0.2388 0.2389 0.9999  1 S 2.44
Sc: 0.2612 0.7389 0.5001  1 S 2.44
Sc: 0.9999 0.9999 0.7611  1 S 2.44
Sc: 0.0001 0.0001 0.2389  1 S 2.44
Sc: 0.2388 0.7610 0.0000  1 S 2.44
Sc: 0.7612 0.2390 0.0000  1 S 2.44
Pb: 0.0001 0.5000 0.2501  12 Sc 3.31
Pb: 0.5001 0.0000 0.7501  12 Sc 3.31
S: 0.5000 0.5000 0.0000  6 Sc 2.44
S: 0.0000 0.0000 0.5000  6 Sc 2.44
Sc: 0.2612 0.2610 0.5000  1 S 2.44
Sc: 0.7388 0.7390 0.5000  1 S 2.44
Sc: 0.7388 0.2611 0.4999  1 S 2.44
Sc: 0.4999 0.5001 0.2611  1 S 2.44

crystal system: cubic
E_form (uncorrected): -5.74 eV per formula unit
symmetry: Fm-3m, No. 225



No. 7
Entry from Alexandria via LeMat-Bulk: an optimized crystal structure of Ce4HfP6 (PBE).

Cell: 7.8584 7.8584 7.8584 Å, 91.00 91.00 89.00°
With the nearest neighbours (Å) after each atom.
Positions (direct):
P: 0.0839 0.3115 0.0668  1 Hf 2.59, 2 Ce 2.85-2.86
P: 0.6885 0.0668 0.0839  1 Hf 2.59, 2 Ce 2.85-2.86
Ce: 0.3737 0.1263 0.2500  8 P 2.85-3.04
Ce: 0.7500 0.7500 0.2500  6 P 2.86
Hf: 0.5000 0.5000 0.5000  6 P 2.59
Hf: 0.0000 0.0000 0.0000  6 P 2.59
Ce: 0.1263 0.7500 0.6263  8 P 2.85-3.04
P: 0.8115 0.5839 0.5668  1 Hf 2.59, 2 Ce 2.85-2.86
P: 0.9332 0.0839 0.6885  1 Hf 2.59, 2 Ce 2.85-2.86
P: 0.9161 0.6885 0.9332  1 Hf 2.59, 2 Ce 2.85-2.86
P: 0.5668 0.1885 0.5839  1 Hf 2.59, 2 Ce 2.85-2.86
Ce: 0.2500 0.2500 0.7500  6 P 2.86
P: 0.5839 0.4332 0.1885  1 Hf 2.59, 2 Ce 2.85-2.86
Ce: 0.8737 0.2500 0.3737  8 P 2.85-3.04
P: 0.4332 0.8115 0.4161  1 Hf 2.59, 2 Ce 2.85-2.86
P: 0.3115 0.9332 0.9161  1 Hf 2.59, 2 Ce 2.85-2.86
P: 0.4161 0.5668 0.8115  1 Hf 2.59, 2 Ce 2.85-2.86
Ce: 0.6263 0.8737 0.7500  8 P 2.85-3.04
P: 0.0668 0.9161 0.3115  1 Hf 2.59, 2 Ce 2.85-2.86
Ce: 0.2500 0.6263 0.1263  8 P 2.85-3.04
P: 0.1885 0.4161 0.4332  1 Hf 2.59, 2 Ce 2.85-2.86
Ce: 0.7500 0.3737 0.8737  8 P 2.85-3.04

crystal system: trigonal
energy relative to the elements: -1.3011 eV/atom
symmetry: R-3c, No. 167



No. 8
Entry from Alexandria via LeMat-Bulk: an optimized crystal structure of Y2BeNi (PBE).

Cell: 7.3753 7.3753 6.1374 Å, 53.07 53.07 90.00°
With the nearest neighbours (Å) after each atom.
Positions (direct):
Y: 0.3750 0.3536 0.7500  2 Ni 2.63, 2 Be 2.84
Be: 0.5000 0.5000 0.0000  4 Y 2.84
Be: 0.2500 0.7500 0.5000  4 Y 2.84
Y: 0.8750 0.8964 0.7500  2 Ni 2.63, 2 Be 2.84
Ni: 0.0000 0.0000 0.0000  4 Y 2.63
Y: 0.6464 0.1250 0.2500  2 Ni 2.63, 2 Be 2.84
Ni: 0.7500 0.2500 0.5000  4 Y 2.63
Y: 0.1036 0.6250 0.2500  2 Ni 2.63, 2 Be 2.84

crystal system: tetragonal
energy relative to the elements: 0.3398 eV/atom
symmetry: I-42d, No. 122



No. 9
Entry from Alexandria via LeMat-Bulk: an optimized crystal structure of LiAuS2N (PBE).

Cell: 5.1431 5.1431 3.7662 Å, 90.00 90.00 90.00°
With the nearest neighbours (Å) after each atom.
Positions (direct):
N: 0.0000 0.0000 0.5000  2 Au 1.88
S: 0.0000 0.5000 0.0000  2 Au 2.57
S: 0.5000 0.0000 0.0000  2 Au 2.57
Li: 0.5000 0.5000 0.5000  8 S 3.19
Au: 0.0000 0.0000 0.0000  2 N 1.88

crystal system: tetragonal
offset from the most stable computed form: 0.0 meV/atom
E_form (uncorrected): 4.11 eV per formula unit
symmetry: P4/mmm, No. 123



No. 10
Entry from Alexandria via LeMat-Bulk: an optimized crystal structure of Ce2ErOs2 (PBE).

Cell: 4.6784 5.5030 5.5037 Å, 67.77 64.85 64.84°
With the nearest neighbours (Å) after each atom.
Positions (direct):
Ce: 0.3071 0.1929 0.6929  6 Os 2.91-3.13, 1 Ce 3.03
Os: 0.0000 0.2328 0.2671  2 Er 2.86, 1 Os 2.86, 6 Ce 2.91-3.13
Ce: 0.6929 0.8071 0.3071  6 Os 2.91-3.13, 1 Ce 3.03
Er: 0.5000 0.5000 0.0000  4 Os 2.86
Os: 0.0000 0.7672 0.7329  2 Er 2.86, 1 Os 2.86, 6 Ce 2.91-3.13

crystal system: orthorhombic
offset from the most stable computed form: 38.6 meV/atom
energy relative to the elements: -0.1319 eV/atom
symmetry: Immm, No. 71



No. 11
Entry from Alexandria via LeMat-Bulk: an optimized crystal structure of RbTlHgPb (PBE).

Cell: 3.9538 3.9538 8.9787 Å, 90.00 90.00 90.00°
With the nearest neighbours (Å) after each atom.
Positions (direct):
Tl: 0.6462 0.3538 0.4687  4 Pb 3.35, 4 Hg 3.37
Hg: 0.1462 0.8538 0.2589  4 Tl 3.37, 4 Rb 3.71, 1 Pb 3.72
Pb: 0.1463 0.8537 0.6734  4 Tl 3.35, 1 Hg 3.72
Rb: 0.6462 0.3538 0.9877  4 Hg 3.71, 4 Rb 3.95, 4 Pb 3.97

crystal system: tetragonal
offset from the most stable computed form: 0.0 meV/atom
energy relative to the elements: -0.0896 eV/atom
symmetry: P4mm, No. 99



Values for final energy, Ry/atom, ordered as above
-0.261, -0.466, -0.206, -0.356, -0.469, -0.451, -0.538, -0.387, -0.260, -0.581, -0.142